PmAsRh2 | PBE | relaxed

Lattice parameters (Å, degrees): 3.891 4.300 4.300 90.00 90.00 90.00
Fractional positions:
Rh: 0.000 0.000 0.500
Rh: 0.000 0.500 0.000
As: 0.500 0.500 0.500
Pm: 0.500 0.000 0.000

Output
- VASP energy (Ha/atom) = -0.24257
- total magnetization (μB/f.u.) = 0.00